Below is crystalline NaLiNi4 at its relaxed geometry, with properties calculated at the GGA-PBE level.

Summary:
Formation energy, eV/atom: 0.132
Size of the total moment, μB/f.u.: 1.203
Calculated density, Mg/m³: 5.50
SG: F-43m

Cell: 4.836 4.836 4.836 Å, 60.00 60.00 60.00°
Sites, in units of the cell vectors:
Na 0.000 0.000 0.000
Li 0.750 0.750 0.750
Ni 0.375 0.375 0.375
Ni 0.375 0.375 0.874
Ni 0.375 0.874 0.375
Ni 0.874 0.375 0.375

***

Below is crystalline Li2YBrF at its relaxed geometry, with properties calculated at the GGA-PBE level.

Summary:
Raw total energy, eV/atom: -3.922
Size of the total moment, μB/f.u.: 0.089
Calculated density, Mg/m³: 3.15
SG: P4/mmm

Cell: 4.008 4.008 6.613 Å, 90.00 90.00 90.00°
Sites, in units of the cell vectors:
Li 0.000 0.500 0.000
Li 0.500 0.000 0.000
Y 0.000 0.000 0.500
Br 0.500 0.500 0.500
F 0.000 0.000 0.000